Record 1
ZnCr2Se | Alexandria via LeMat-Bulk | PBEsol | optimized geometry; symmetry = I-4m2, No. 119; E_tot = -6.06 eV/atom; Fermi-level density of states = 5.23 states/eV per cell
1.0
-0.796 -2.954 1.934
-1.637 -1.448 -2.885
4.944 0.402 -0.737
Cr Se Zn
2 1 1
direct
0.000 0.000 0.000
0.750 0.250 0.500
0.500 0.500 0.000
0.250 0.750 0.500



Record 2
ZnCr2Se4 | Alexandria via LeMat-Bulk | PBEsol | optimized geometry; symmetry = Fd-3m, No. 227; E_tot = -5.88 eV/atom; Fermi-level density of states = 3.36 states/eV per cell
1.0
-3.454 -4.707 -4.485
3.801 -5.316 -3.391
-0.894 -7.024 2.017
Cr Se Zn
4 8 2
direct
0.125 0.625 0.625
0.625 0.625 0.125
0.625 0.625 0.625
0.625 0.125 0.625
0.865 0.865 0.406
0.385 0.385 0.844
0.385 0.844 0.385
0.385 0.385 0.385
0.844 0.385 0.385
0.406 0.865 0.865
0.865 0.406 0.865
0.865 0.865 0.865
0.250 0.250 0.250
0.000 0.000 0.000



Record 3
ZnCr2Se | Alexandria via LeMat-Bulk | PBEsol | optimized geometry; symmetry = F-43m, No. 216; E_tot = -6.06 eV/atom; Fermi-level density of states = 2.19 states/eV per cell
1.0
4.315 0.000 0.000
2.157 3.737 0.000
2.157 1.246 3.523
Cr Zn Se
2 1 1
direct
0.000 0.000 0.000
0.250 0.250 0.250
0.750 0.750 0.750
0.500 0.500 0.500



Record 4
ZnCrSe2 | Alexandria via LeMat-Bulk | PBEsol | optimized geometry; symmetry = Imm2, No. 44; E_tot = -5.03 eV/atom; Fermi-level density of states = 1.37 states/eV per cell
1.0
-3.153 0.200 1.345
-0.334 -3.466 -0.269
4.064 0.980 5.000
Se Zn Cr
2 1 1
direct
0.288 0.788 0.575
0.044 0.044 0.088
0.466 0.466 0.931
0.703 0.203 0.406



Question: Number 3 is which compound?
Answer: ZnCr2Se